{"formula": "Tm12MgIn6", "functional": "GGA-PBE", "state": "relaxed", "vol_a3_per_fu": 557, "formation_energy_mev_per_atom": -86.0, "spacegroup": "R-3 (148)", "total_magnetization_mub_per_atom": 0.00, "dft_energy_ev_per_cell": -73.32, "lattice": [[7.055, 4.073, 3.229], [-7.055, 4.073, 3.229], [0.000, -8.147, 3.229]], "species": ["Tm", "Tm", "Tm", "Tm", "Tm", "Tm", "Tm", "Tm", "Tm", "Tm", "Tm", "Tm", "Mg", "In", "In", "In", "In", "In", "In"], "frac_coords": [[0.080, 0.433, 0.174], [0.172, 0.472, 0.609], [0.174, 0.080, 0.433], [0.391, 0.828, 0.528], [0.433, 0.174, 0.080], [0.472, 0.609, 0.172], [0.528, 0.391, 0.828], [0.567, 0.826, 0.920], [0.609, 0.172, 0.472], [0.826, 0.920, 0.567], [0.828, 0.528, 0.391], [0.920, 0.567, 0.826], [0.500, 0.500, 0.500], [0.150, 0.270, 0.844], [0.156, 0.850, 0.730], [0.270, 0.844, 0.150], [0.730, 0.156, 0.850], [0.844, 0.150, 0.270], [0.850, 0.730, 0.156]]}